1.
{
  "formula": "Pr3Tm2In6",
  "functional": "PBE",
  "state": "relaxed",
  "cell": [[-2.3917, 2.3917, 14.4397], [2.3917, -2.3917, 14.4397], [2.3917, 2.3917, -14.4397]],
  "species": ["Pr", "Pr", "Pr", "Tm", "Tm", "In", "In", "In", "In", "In", "In"],
  "fractional_positions": [[0.0000, 0.0000, 0.0000], [0.2007, 0.2007, 0.0000], [0.7993, 0.7993, 0.0000], [0.4463, 0.4463, 0.0000], [0.5537, 0.5537, 0.0000], [0.1169, 0.6169, 0.5000], [0.3122, 0.3122, 0.0000], [0.3831, 0.8831, 0.5000], [0.6169, 0.1169, 0.5000], [0.6878, 0.6878, 0.0000], [0.8831, 0.3831, 0.5000]],
  "magnetic_moment_mub_per_fu": 0.000,
  "energy_ev_per_atom": -3.837
}

---

2.
{
  "formula": "NiAgOs2",
  "functional": "PBE",
  "state": "relaxed",
  "cell": [[-1.8546, 1.8546, 9.2790], [1.8546, -1.8546, 9.2790], [1.8546, 1.8546, -9.2790]],
  "species": ["Ni", "Ni", "Ag", "Ag", "Os", "Os", "Os", "Os"],
  "fractional_positions": [[0.0000, 0.0000, 0.0000], [0.7500, 0.2500, 0.5000], [0.2500, 0.7500, 0.5000], [0.5000, 0.5000, 0.0000], [0.0769, 0.6250, 0.9519], [0.3750, 0.3269, 0.4519], [0.6731, 0.1250, 0.0481], [0.8750, 0.9231, 0.5481]],
  "magnetic_moment_mub_per_fu": 0.000,
  "energy_ev_per_atom": -6.816
}

---

3.
{
  "formula": "Hf4OsO",
  "functional": "PBE",
  "state": "relaxed",
  "cell": [[5.7820, 0.0000, 0.0000], [0.0000, 6.0677, 0.0000], [-1.0883, 0.0000, 6.2305]],
  "species": ["Hf", "Hf", "Hf", "Hf", "Hf", "Hf", "Hf", "Hf", "Os", "Os", "O", "O"],
  "fractional_positions": [[0.1198, 0.1499, 0.1809], [0.1198, 0.3501, 0.6809], [0.3348, 0.6401, 0.1157], [0.3348, 0.8599, 0.6157], [0.6652, 0.1401, 0.3843], [0.6652, 0.3599, 0.8843], [0.8802, 0.6499, 0.3191], [0.8802, 0.8501, 0.8191], [0.5000, 0.0000, 0.0000], [0.5000, 0.5000, 0.5000], [0.0000, 0.0000, 0.5000], [0.0000, 0.5000, 0.0000]],
  "raw_formation_energy_mev_per_atom": -904,
  "magnetic_moment_mub_per_fu": 0.000
}